Below is crystalline Rb2VCl2F4 at its relaxed geometry, with properties calculated at the PBE with a Hubbard U level.

Output
* VASP energy: -4.678 eV/atom
* mass density: 3.1 g/cm3
* magnetization: 1.00 μB per formula unit

a = 6.8348 Å, b = 6.8348 Å, c = 5.2977 Å
α = 92.57°, β = 92.57°, γ = 53.96°
Sites, in units of the cell vectors:
Rb 0.1419 0.1419 0.1518
Rb 0.8581 0.8581 0.8482
V 0.5000 0.5000 0.5000
Cl 0.3201 0.3201 0.6647
Cl 0.6799 0.6799 0.3353
F 0.2414 0.6670 0.2688
F 0.3330 0.7586 0.7312
F 0.6670 0.2414 0.2688
F 0.7586 0.3330 0.7312